1.
# PBE Na5ZnSn2, optimized geometry
data_Na5ZnSn2
_chemical_formula_sum 'Na10 Zn2 Sn4'
_symmetry_space_group_name_H-M 'P b a m'
_symmetry_Int_Tables_number 55
_cell_length_a 6.573
_cell_length_b 12.944
_cell_length_c 5.014
_cell_angle_alpha 90.00
_cell_angle_beta 90.00
_cell_angle_gamma 90.00
loop_
_symmetry_equiv_pos_as_xyz
'x,y,z'
'-x,-y,-z'
'-x,-y,z'
'x,y,-z'
'x+1/2,-y+1/2,-z'
'-x+1/2,y+1/2,z'
'-x+1/2,y+1/2,-z'
'x+1/2,-y+1/2,z'
loop_
_atom_site_label
_atom_site_fract_x
_atom_site_fract_y
_atom_site_fract_z
Na1 0.000 0.000 0.000
Na2 0.093 0.261 0.000
Na3 0.163 0.865 0.500
Zn1 0.000 0.500 0.000
Sn1 0.155 0.599 0.500
# Calculated volume (Å³/atom): 26.7
# Uncorrected energy (eV per atom): -2.0419
# M_tot (μB/atom): 0.0000
# Density (kg/m3): 3253
# Energy of formation (kJ/mol of atoms): -6

=====

2.
# PBE NaZn2Sn, optimized geometry
data_NaZn2Sn
_chemical_formula_sum 'Na4 Zn8 Sn4'
_symmetry_space_group_name_H-M 'C m c m'
_symmetry_Int_Tables_number 63
_symmetry_space_group_name_Hall '-C 2c 2'
_cell_length_a 4.422
_cell_length_b 11.810
_cell_length_c 7.465
_cell_angle_alpha 90.00
_cell_angle_beta 90.00
_cell_angle_gamma 90.00
loop_
_atom_site_label
_atom_site_fract_x
_atom_site_fract_y
_atom_site_fract_z
Na1 0.000 0.071 0.250
Zn1 0.000 0.263 0.586
Sn1 0.000 0.371 0.250
# Calculated volume (Å³/atom): 24.4
# Uncorrected energy (eV per atom): -1.9731
# M_tot (μB/atom): 0.0000
# Density (kg/m3): 4644
# Energy of formation (kJ/mol of atoms): -1

=====

Question: Which of these has the lowest calculated volume?
Answer: NaZn2Sn